[1]
The following is a PBE calculation of a geometry-optimized LaSi2Ni structure, from the Alexandria database.

## Properties
M_tot: 0.00 Bohr magnetons per cell
Raw formation energy: -186 kJ/mol of formula units

a = 4.1544 Å, b = 4.4467 Å, c = 4.5059 Å
α = 90.00°, β = 90.00°, γ = 90.00°
With the nearest neighbours (Å) after each atom.
Space group Pmm2 (No. 25)
One atom of each set of equivalent atoms:
La (0.0000, 0.0000, 0.0000) (multiplicity 1)  8 Si 3.15-3.20, 4 Ni 3.29
Si (0.0000, 0.5000, 0.5058) (multiplicity 1)  2 Ni 2.29, 2 Si 2.45
Si (0.5000, 0.5000, 0.2163) (multiplicity 1)  2 Ni 2.23-2.27, 2 Si 2.45
Ni (0.5000, 0.5000, 0.7210) (multiplicity 1)  4 Si 2.23-2.29

[2]
The following is a PBE calculation of a geometry-optimized LaSi2Ni structure, from the Alexandria database.

## Properties
M_tot: 0.00 Bohr magnetons per cell
Raw formation energy: -45 kJ/mol of formula units

a = 5.7756 Å, b = 5.8355 Å, c = 4.4185 Å
α = 90.00°, β = 90.00°, γ = 90.00°
With the nearest neighbours (Å) after each atom.
Space group Cmmm (No. 65)
One atom of each set of equivalent atoms:
La (0.0000, 0.0000, 0.0000) (multiplicity 2)  4 Ni 2.89-2.92, 8 Si 3.02
Si (0.2500, 0.2500, 0.5000) (multiplicity 4)  4 Si 2.89-2.92, 4 La 3.02, 4 Ni 3.02
Ni (0.0000, 0.5000, 0.0000) (multiplicity 2)  4 La 2.89-2.92, 8 Si 3.02

[3]
The following is a PBE calculation of a geometry-optimized LaSi3Ni6 structure, from the Alexandria database.

## Properties
M_tot: 0.00 Bohr magnetons per cell
Raw formation energy: -415 kJ/mol of formula units

a = 6.3155 Å, b = 6.3228 Å, c = 8.0073 Å
α = 90.00°, β = 123.07°, γ = 90.00°
With the nearest neighbours (Å) after each atom.
Space group P2_1/c (No. 14)
One atom of each set of equivalent atoms:
La (0.0000, 0.0000, 0.0000) (multiplicity 2)  4 Ni 2.73-2.83, 2 Si 3.02
Si (0.2761, 0.1338, 0.4605) (multiplicity 4)  5 Ni 2.25-2.51
Si (0.5000, 0.0000, 0.0000) (multiplicity 2)  6 Ni 2.30-2.45
Ni (0.1411, 0.0559, 0.6832) (multiplicity 4)  3 Si 2.33-2.53, 5 Ni 2.53-2.61
Ni (0.2582, 0.7014, 0.8591) (multiplicity 4)  3 Si 2.25-2.51, 2 Ni 2.48-2.50
Ni (0.4888, 0.1626, 0.2725) (multiplicity 4)  4 Si 2.45-2.61, 4 Ni 2.48-2.61

[4]
The following is a PBE calculation of a geometry-optimized La2SiNi2 structure, from the Alexandria database.

## Properties
M_tot: 0.00 Bohr magnetons per cell
Raw formation energy: -117 kJ/mol of formula units

a = 3.5326 Å, b = 3.5326 Å, c = 17.1736 Å
α = 90.00°, β = 90.00°, γ = 90.00°
With the nearest neighbours (Å) after each atom.
Space group I4/mmm (No. 139)
One atom of each set of equivalent atoms:
La (0.0000, 0.0000, 0.1164) (multiplicity 4)  4 Ni 2.90, 4 Si 3.20
Si (0.0000, 0.0000, 0.5000) (multiplicity 2)  8 La 3.20, 4 Si 3.53
Ni (0.0000, 0.5000, 0.2500) (multiplicity 4)  4 Ni 2.50

[5]
The following is a PBE calculation of a geometry-optimized LaSi3Ni5 structure, from the Alexandria database.

## Properties
M_tot: 0.00 Bohr magnetons per cell
Raw formation energy: -604 kJ/mol of formula units

a = 3.7173 Å, b = 11.7894 Å, c = 11.6961 Å
α = 90.00°, β = 90.00°, γ = 90.00°
With the nearest neighbours (Å) after each atom.
Space group Cmcm (No. 63)
One atom of each set of equivalent atoms:
La (0.0000, 0.1631, 0.2500) (multiplicity 4)  7 Si 3.16-3.24, 10 Ni 3.29-3.50
Si (0.0000, 0.1113, 0.7500) (multiplicity 4)  6 Ni 2.34-2.37
Si (0.0000, 0.3832, 0.5366) (multiplicity 8)  7 Ni 2.23-2.40
Ni (0.0000, 0.0000, 0.0000) (multiplicity 4)  4 Si 2.35, 6 Ni 2.44-2.59
Ni (0.0000, 0.1962, 0.5662) (multiplicity 8)  4 Si 2.23-2.40, 1 Ni 2.44
Ni (0.0000, 0.4494, 0.1456) (multiplicity 8)  4 Si 2.27-2.35, 1 Ni 2.44

[6]
The following is a PBE calculation of a geometry-optimized La2SiNi2 structure, from the Alexandria database.

## Properties
M_tot: 0.00 Bohr magnetons per cell
Raw formation energy: -208 kJ/mol of formula units

a = 7.1039 Å, b = 7.1039 Å, c = 4.0575 Å
α = 90.00°, β = 90.00°, γ = 90.00°
With the nearest neighbours (Å) after each atom.
Space group P4/mbm (No. 127)
One atom of each set of equivalent atoms:
La (0.1856, 0.3144, 0.0000) (multiplicity 4)  6 Ni 2.78-3.03
Si (0.0000, 0.0000, 0.5000) (multiplicity 2)  4 Ni 2.81
Ni (0.1245, 0.6245, 0.5000) (multiplicity 4)  1 Ni 2.50, 2 La 2.78

[7]
The following is a PBE calculation of a geometry-optimized La2Si3Ni structure, from the Alexandria database.

## Properties
M_tot: 0.00 Bohr magnetons per cell
Excess energy over the best structure of this formula in the dataset: 0.00 eV/f.u.
Raw formation energy: -480 kJ/mol of formula units

a = 8.1518 Å, b = 8.7938 Å, c = 14.1126 Å
α = 90.00°, β = 90.00°, γ = 90.00°
With the nearest neighbours (Å) after each atom.
Space group Fmmm (No. 69)
One atom of each set of equivalent atoms:
La (0.0000, 0.2464, 0.0000) (multiplicity 8)  10 Si 3.22-3.24, 2 Ni 3.25
La (0.2500, 0.2500, 0.2500) (multiplicity 8)  8 Si 3.20, 4 Ni 3.22
Si (0.0000, 0.0000, 0.1702) (multiplicity 8)  1 Ni 2.30, 2 Si 2.41
Si (0.2434, 0.0000, 0.4148) (multiplicity 16)  1 Ni 2.30, 2 Si 2.40-2.41
Ni (0.0000, 0.0000, 0.3329) (multiplicity 8)  3 Si 2.30

[8]
The following is a PBE calculation of a geometry-optimized LaSi2Ni structure, from the Alexandria database.

## Properties
M_tot: 0.00 Bohr magnetons per cell
Raw formation energy: -269 kJ/mol of formula units

a = 4.1393 Å, b = 8.4441 Å, c = 16.8944 Å
α = 90.00°, β = 90.00°, γ = 90.00°
With the nearest neighbours (Å) after each atom.
Space group Immm (No. 71)
One atom of each set of equivalent atoms:
La (0.0000, 0.0000, 0.2067) (multiplicity 4)  9 Si 3.03-3.33, 6 Ni 3.14-3.30
La (0.0000, 0.2518, 0.0000) (multiplicity 4)  10 Si 3.16-3.36, 4 Ni 3.19
Si (0.0000, 0.0000, 0.4040) (multiplicity 4)  2 Ni 2.27
Si (0.0000, 0.3546, 0.1800) (multiplicity 8)  2 Ni 2.34, 1 Si 2.46
Si (0.0000, 0.5000, 0.4279) (multiplicity 4)  2 Ni 2.42, 1 Si 2.44
Ni (0.0000, 0.2510, 0.3565) (multiplicity 8)  4 Si 2.27-2.42